1.
Density functional theory data (PBE-GGA) for an optimized crystal structure of Li2SnH.

Lattice parameters (Å, degrees): 5.6246 5.6246 5.6066 59.89 59.89 90.00
Sites, in units of the cell vectors:
Li 0.4069 0.1250 0.2500
Li 0.3750 0.5931 0.7500
Li 0.8750 0.6569 0.7500
H 0.2500 0.7500 0.5000
Li 0.3431 0.6250 0.2500
Sn 0.0000 0.0000 0.0000
Sn 0.7500 0.2500 0.5000
H 0.5000 0.5000 0.0000

Output
VASP energy ... -3.05 eV/atom
Crystal system ... tetragonal
Magnetization ... 0.00 μB per cell
Density of states at the Fermi level ... 1.42 states/eV/cell



2.
Density functional theory data (PBE-GGA) for an optimized crystal structure of LiSnH.

Lattice parameters (Å, degrees): 3.0196 5.7328 6.5755 66.24 89.81 90.01
Sites, in units of the cell vectors:
Sn 0.4481 0.6910 0.8449
Li 0.4502 0.5632 0.3907
H 0.9495 0.3805 0.4512
H 0.4499 0.9637 0.3065
Sn 0.4517 0.1265 0.9825
Li 0.9495 0.0677 0.4495

Output
VASP energy ... -3.19 eV/atom
Crystal system ... triclinic
Magnetization ... 0.00 μB per cell
Density of states at the Fermi level ... 1.46 states/eV/cell



3.
Density functional theory data (PBE-GGA) for an optimized crystal structure of Li12Sn3H5.

Lattice parameters (Å, degrees): 11.5833 11.5833 11.5833 109.47 109.47 109.47
Sites, in units of the cell vectors:
Sn 0.2500 0.1250 0.3750
Li 0.4027 0.0025 0.8103
Li 0.4975 0.1897 0.0973
H 0.5000 0.0000 0.5000
Li 0.5924 0.9027 0.4002
Sn 0.7500 0.8750 0.6250
Li 0.6897 0.0973 0.9975
Li 0.6922 0.1897 0.5924
Li 0.5025 0.6922 0.0998
Li 0.3103 0.9027 0.0025
Li 0.4076 0.0973 0.5998
Li 0.0998 0.9076 0.0973
Sn 0.7500 0.3750 0.1250
H 0.2500 0.3750 0.6250
Li 0.8078 0.9002 0.9975
H 0.5000 0.5000 0.5000
Li 0.1897 0.6922 0.0924
Li 0.8078 0.9076 0.3103
Li 0.9076 0.8078 0.8103
Li 0.4027 0.4002 0.0924
Sn 0.8750 0.1250 0.2500
Li 0.9076 0.0998 0.5973
H 0.5000 0.0000 0.0000
H 0.0000 0.0000 0.5000
H 0.2500 0.8750 0.1250
Sn 0.6250 0.3750 0.7500
Li 0.0025 0.5998 0.1922
Li 0.1897 0.4975 0.5973
Li 0.5924 0.6897 0.6922
H 0.0000 0.5000 0.0000
H 0.3750 0.2500 0.1250
H 0.1250 0.7500 0.3750
Li 0.9027 0.5924 0.9002
Li 0.5973 0.5998 0.9076
Sn 0.6250 0.2500 0.3750
Sn 0.1250 0.8750 0.7500
H 0.6250 0.8750 0.2500
Li 0.0973 0.4076 0.0998
Li 0.6922 0.5025 0.5998
Li 0.5998 0.0025 0.6922
Li 0.5998 0.5973 0.4076
Li 0.0998 0.1922 0.5025
Li 0.0973 0.6897 0.4975
Li 0.9002 0.8078 0.4975
Li 0.4076 0.3103 0.3078
Sn 0.3750 0.7500 0.6250
Li 0.4975 0.3078 0.9002
Li 0.5025 0.8103 0.9027
H 0.6250 0.7500 0.8750
H 0.0000 0.5000 0.5000
Li 0.0924 0.9002 0.4027
Li 0.6897 0.5924 0.1922
Sn 0.2500 0.6250 0.8750
Li 0.4002 0.4027 0.5924
Li 0.8103 0.3078 0.9076
H 0.3750 0.1250 0.7500
Li 0.3103 0.4076 0.8078
H 0.5000 0.5000 0.0000
Li 0.9975 0.4002 0.8078
Li 0.3078 0.8103 0.4076
H 0.0000 0.0000 0.0000
Li 0.0025 0.4027 0.3103
Li 0.9975 0.5973 0.6897
Li 0.8103 0.5025 0.4027
Li 0.5973 0.9975 0.1897
H 0.7500 0.6250 0.3750
Li 0.9027 0.3103 0.5025
Li 0.9002 0.0924 0.9027
Li 0.3078 0.4975 0.4002
H 0.8750 0.2500 0.6250
Li 0.1922 0.0998 0.0025
Sn 0.3750 0.6250 0.2500
Sn 0.8750 0.7500 0.1250
Li 0.4002 0.9975 0.3078
H 0.7500 0.1250 0.8750
Sn 0.1250 0.2500 0.8750
Li 0.0924 0.1922 0.1897
H 0.1250 0.3750 0.2500
Li 0.1922 0.0924 0.6897
H 0.8750 0.6250 0.7500

Output
VASP energy ... -2.78 eV/atom
Crystal system ... cubic
Magnetization ... 0.00 μB per cell
Density of states at the Fermi level ... 24.91 states/eV/cell



4.
Density functional theory data (PBE-GGA) for an optimized crystal structure of Li2SnH.

Lattice parameters (Å, degrees): 3.1701 3.1701 7.3441 77.54 77.54 60.00
Sites, in units of the cell vectors:
Li 0.2800 0.2800 0.1599
H 0.6672 0.6672 0.9985
Sn 0.4991 0.4991 0.5026
Li 0.0537 0.0537 0.8390

Output
VASP energy ... -3.04 eV/atom
Crystal system ... trigonal
Magnetization ... 0.00 μB per cell
Density of states at the Fermi level ... 1.61 states/eV/cell



5.
Density functional theory data (PBE-GGA) for an optimized crystal structure of Li2SnH.

Lattice parameters (Å, degrees): 2.9985 4.8047 4.8047 90.00 90.00 90.00
Sites, in units of the cell vectors:
Sn 0.5000 0.0000 0.0000
H 0.5000 0.5000 0.5000
Li 0.0000 0.5000 0.0000
Li 0.0000 0.0000 0.5000

Output
VASP energy ... -2.66 eV/atom
Crystal system ... tetragonal
Magnetization ... 0.00 μB per cell
Density of states at the Fermi level ... 1.58 states/eV/cell



6.
Density functional theory data (PBE-GGA) for an optimized crystal structure of LiSnH3.

Lattice parameters (Å, degrees): 4.2041 4.2041 4.2041 90.00 90.00 90.00
Sites, in units of the cell vectors:
H 0.5000 0.0000 0.0000
Li 0.5000 0.5000 0.5000
H 0.0000 0.5000 0.0000
Sn 0.0000 0.0000 0.0000
H 0.0000 0.0000 0.5000

Output
VASP energy ... -2.90 eV/atom
Crystal system ... cubic
Magnetization ... 0.00 μB per cell
Density of states at the Fermi level ... 0.47 states/eV/cell



7.
Density functional theory data (PBE-GGA) for an optimized crystal structure of Li2SnH2.

Lattice parameters (Å, degrees): 6.6475 6.6475 2.9215 90.00 90.00 90.00
Sites, in units of the cell vectors:
H 0.6178 0.1178 0.0000
H 0.1178 0.3822 0.0000
Li 0.8697 0.3697 0.5000
Li 0.6303 0.8697 0.5000
Sn 0.0000 0.0000 0.0000
Li 0.1303 0.6303 0.5000
H 0.3822 0.8822 0.0000
H 0.8822 0.6178 0.0000
Sn 0.5000 0.5000 0.0000
Li 0.3697 0.1303 0.5000

Output
VASP energy ... -2.83 eV/atom
Crystal system ... tetragonal
Magnetization ... 0.00 μB per cell
Density of states at the Fermi level ... 1.37 states/eV/cell



8.
Density functional theory data (PBE-GGA) for an optimized crystal structure of LiSnH.

Lattice parameters (Å, degrees): 3.1373 3.1373 5.5188 106.51 106.51 90.00
Sites, in units of the cell vectors:
Li 0.3568 0.3568 0.7136
H 0.8460 0.8460 0.6919
Sn 0.6472 0.6472 0.2945

Output
VASP energy ... -3.15 eV/atom
Crystal system ... tetragonal
Magnetization ... 0.00 μB per cell
Density of states at the Fermi level ... 1.02 states/eV/cell